Entry 1:
Below is KCuI2 after structural relaxation, with properties calculated at the GGA-PBE level.

Computed properties:
Formation energy from raw total energies = -0.76 eV per atom
Polymorph energy (0 for the lowest one) = 0.032 eV/atom
Space-group type = Pna2_1 (33)
Crystal system = orthorhombic

Unit cell a=7.2785 b=11.4739 c=7.1202 alpha=90.00 beta=90.00 gamma=90.00
Element x y z (fractional)
K 0.0608 0.1261 0.0000
K 0.4392 0.6261 0.5000
K 0.5608 0.3739 0.0000
K 0.9392 0.8739 0.5000
Cu 0.0780 0.3751 0.4078
Cu 0.4220 0.8751 0.9078
Cu 0.5780 0.1249 0.4078
Cu 0.9220 0.6249 0.9078
I 0.0567 0.4262 0.0488
I 0.0827 0.8251 0.0074
I 0.4173 0.3251 0.5074
I 0.4433 0.9262 0.5488
I 0.5567 0.0738 0.0488
I 0.5827 0.6749 0.0074
I 0.9173 0.1749 0.5074
I 0.9433 0.5738 0.5488

Entry 2:
Below is BC3 after structural relaxation, with properties calculated at the GGA-PBE level.

Computed properties:
Calculated formation energy = 0.29 eV/atom
Polymorph energy (0 for the lowest one) = 0.047 eV/atom
Space-group type = Pm (6)
Crystal system = monoclinic

Unit cell a=4.5889 b=2.5656 c=6.3370 alpha=90.00 beta=93.86 gamma=90.00
Element x y z (fractional)
B 0.0000 0.0000 0.0000
B 0.2772 0.0000 0.3165
B 0.6820 0.0000 0.4247
C 0.1446 0.5000 0.4221
C 0.1535 0.5000 0.6641
C 0.3567 0.0000 0.0813
C 0.4894 0.5000 0.7522
C 0.5014 0.5000 0.9999
C 0.6441 0.0000 0.6722
C 0.8187 0.5000 0.0901
C 0.8277 0.5000 0.3241
C 0.9961 0.0000 0.7439

Entry 3:
Below is Sc2CrRe after structural relaxation, with properties calculated at the GGA-PBE level.

Computed properties:
Calculated formation energy = 0.19 eV/atom
Polymorph energy (0 for the lowest one) = 0.204 eV/atom
Space-group type = I-4m2 (119)
Crystal system = tetragonal

Unit cell a=4.5524 b=4.5524 c=4.5524 alpha=120.09 beta=120.09 gamma=89.85
Element x y z (fractional)
Sc 0.0000 0.0000 0.0000
Sc 0.7500 0.2500 0.5000
Cr 0.2500 0.7500 0.5000
Re 0.5000 0.5000 0.0000

Entry 4:
Below is La2Dy12Tm5 after structural relaxation, with properties calculated at the GGA-PBE level.

Computed properties:
Calculated formation energy = 0.14 eV/atom
Polymorph energy (0 for the lowest one) = 0.075 eV/atom
Space-group type = C2/m (12)
Crystal system = monoclinic

Unit cell a=9.1352 b=9.1352 c=8.4930 alpha=90.69 beta=90.69 gamma=60.54
Element x y z (fractional)
La 0.1886 0.8114 0.0000
La 0.8114 0.1886 0.0000
Dy 0.0595 0.0595 0.3258
Dy 0.0662 0.6838 0.3529
Dy 0.1599 0.5217 0.7550
Dy 0.3162 0.9338 0.6471
Dy 0.4034 0.4034 0.1172
Dy 0.4783 0.8401 0.2450
Dy 0.5217 0.1599 0.7550
Dy 0.5966 0.5966 0.8828
Dy 0.6838 0.0662 0.3529
Dy 0.8401 0.4783 0.2450
Dy 0.9338 0.3162 0.6471
Dy 0.9405 0.9405 0.6742
Tm 0.1964 0.1964 0.0071
Tm 0.2674 0.2674 0.4224
Tm 0.5000 0.5000 0.5000
Tm 0.7326 0.7326 0.5776
Tm 0.8036 0.8036 0.9929

Entry 5:
Below is Nb5Te after structural relaxation, with properties calculated at the GGA-PBE level.

Computed properties:
Formation energy from raw total energies = -0.07 eV per atom
Space-group type = Cmmm (65)
Crystal system = orthorhombic

Unit cell a=7.3351 b=7.3351 c=3.4953 alpha=90.00 beta=90.00 gamma=143.45
Element x y z (fractional)
Nb 0.0000 0.0000 0.0000
Nb 0.1645 0.8355 0.5000
Nb 0.3274 0.6726 0.0000
Nb 0.6726 0.3274 0.0000
Nb 0.8355 0.1645 0.5000
Te 0.5000 0.5000 0.5000

Entry 6:
Below is Tb4HoCu4 after structural relaxation, with properties calculated at the GGA-PBE level.

Computed properties:
Calculated formation energy = -0.03 eV/atom
Space-group type = P4_2/n (86)
Crystal system = tetragonal

Unit cell a=8.5380 b=8.5380 c=6.0064 alpha=90.00 beta=90.00 gamma=90.00
Element x y z (fractional)
Tb 0.0509 0.6631 0.1503
Tb 0.1631 0.9491 0.6503
Tb 0.3369 0.5509 0.6503
Tb 0.4491 0.8369 0.1503
Tb 0.5509 0.1631 0.8497
Tb 0.6631 0.4491 0.3497
Tb 0.8369 0.0509 0.3497
Tb 0.9491 0.3369 0.8497
Ho 0.2500 0.2500 0.2500
Ho 0.7500 0.7500 0.7500
Cu 0.0212 0.6224 0.6195
Cu 0.1224 0.9788 0.1195
Cu 0.3776 0.5212 0.1195
Cu 0.4788 0.8776 0.6195
Cu 0.5212 0.1224 0.3805
Cu 0.6224 0.4788 0.8805
Cu 0.8776 0.0212 0.8805
Cu 0.9788 0.3776 0.3805

Entry 7:
Below is Np2HCl8 after structural relaxation, with properties calculated at the GGA-PBE level.

Computed properties:
Final energy = -5.296 eV/atom
Space-group type = C2/m (12)
Crystal system = monoclinic

Unit cell a=7.3414 b=7.3414 c=7.8536 alpha=95.15 beta=95.15 gamma=108.77
Element x y z (fractional)
Np 0.0826 0.0826 0.2680
Np 0.9174 0.9174 0.7320
H 0.0000 0.0000 0.0000
Cl 0.1370 0.7244 0.7495
Cl 0.1949 0.1949 0.6074
Cl 0.2756 0.8630 0.2505
Cl 0.3458 0.3458 0.1740
Cl 0.6542 0.6542 0.8260
Cl 0.7244 0.1370 0.7495
Cl 0.8051 0.8051 0.3926
Cl 0.8630 0.2756 0.2505

Entry 8:
Below is Y4ErPu3Se8 after structural relaxation, with properties calculated at the GGA-PBE level.

Computed properties:
Formation energy from raw total energies = -1.69 eV per atom
Space-group type = C2/m (12)
Crystal system = monoclinic

Unit cell a=8.1761 b=8.1761 c=8.2117 alpha=119.71 beta=119.71 gamma=60.13
Element x y z (fractional)
Y 0.0000 0.0000 0.0000
Y 0.0000 0.5000 0.5000
Y 0.5000 0.0000 0.5000
Y 0.5000 0.5000 0.0000
Er 0.0000 0.0000 0.5000
Pu 0.0000 0.5000 0.0000
Pu 0.5000 0.0000 0.0000
Pu 0.5000 0.5000 0.5000
Se 0.2453 0.7514 0.7482
Se 0.2484 0.2484 0.2512
Se 0.2484 0.2484 0.7459
Se 0.2486 0.7547 0.2518
Se 0.7514 0.2453 0.7482
Se 0.7516 0.7516 0.2541
Se 0.7516 0.7516 0.7488
Se 0.7547 0.2486 0.2518

Entry 9:
Below is TmSc2CdAu4 after structural relaxation, with properties calculated at the GGA-PBE level.

Computed properties:
Calculated formation energy = -0.72 eV/atom
Space-group type = R-3m (166)
Crystal system = trigonal

Unit cell a=8.4378 b=8.4378 c=8.4378 alpha=33.46 beta=33.46 gamma=33.46
Element x y z (fractional)
Tm 0.0000 0.0000 0.0000
Sc 0.2441 0.2441 0.2441
Sc 0.7559 0.7559 0.7559
Cd 0.5000 0.5000 0.5000
Au 0.1213 0.1213 0.1213
Au 0.3699 0.3699 0.3699
Au 0.6301 0.6301 0.6301
Au 0.8787 0.8787 0.8787

Entry 10:
Below is Be2NiAs after structural relaxation, with properties calculated at the GGA-PBE level.

Computed properties:
Calculated formation energy = -0.02 eV/atom
Space-group type = P4/mmm (123)
Crystal system = tetragonal

Unit cell a=3.5764 b=3.5764 c=3.3777 alpha=90.00 beta=90.00 gamma=90.00
Element x y z (fractional)
Be 0.0000 0.5000 0.0000
Be 0.5000 0.0000 0.0000
Ni 0.0000 0.0000 0.5000
As 0.5000 0.5000 0.5000

Entry 11:
Below is Mn2ReNi after structural relaxation, with properties calculated at the GGA-PBE level.

Computed properties:
Calculated formation energy = 0.02 eV/atom
Space-group type = I4/mmm (139)
Crystal system = tetragonal

Unit cell a=4.3970 b=4.3970 c=4.3970 alpha=130.14 beta=130.14 gamma=73.19
Element x y z (fractional)
Mn 0.2500 0.7500 0.5000
Mn 0.7500 0.2500 0.5000
Re 0.0000 0.0000 0.0000
Ni 0.5000 0.5000 0.0000

Entry 12:
Below is AcNpAsAu after structural relaxation, with properties calculated at the GGA-PBE level.

Computed properties:
Calculated formation energy = -0.46 eV/atom
Space-group type = F-43m (216)
Crystal system = cubic

Unit cell a=5.3109 b=5.3109 c=5.3109 alpha=60.00 beta=60.00 gamma=60.00
Element x y z (fractional)
Ac 0.0000 0.0000 0.0000
Np 0.5000 0.5000 0.5000
As 0.7500 0.7500 0.7500
Au 0.2500 0.2500 0.2500

| no. | total magnetization (μB/f.u.) |
| --- | --- |
| 1 | 0.00 |
| 2 | 0.00 |
| 3 | 1.07 |
| 4 | 0.00 |
| 5 | 0.00 |
| 6 | 0.00 |
| 7 | 5.00 |
| 8 | 5.85 |
| 9 | 0.00 |
| 10 | 0.00 |
| 11 | 2.57 |
| 12 | 5.64 |